No. 1
{
  "formula": "Ca2ZrAs",
  "functional": "PBE",
  "state": "relaxed",
  "lattice_angstrom": [[-2.2338, 2.2338, 5.1191], [2.2338, -2.2338, 5.1191], [2.2338, 2.2338, -5.1191]],
  "species": ["Ca", "Ca", "Zr", "As"],
  "fractional_positions": [[0.0000, 0.0000, 0.0000], [0.7500, 0.2500, 0.5000], [0.2500, 0.7500, 0.5000], [0.5000, 0.5000, 0.0000]],
  "formation_enthalpy_0k_ev_per_atom": -0.106,
  "total_magnetization_mub_per_fu": 0.99,
  "n_ef_per_ev_atom": 0.66,
  "final_energy_ev_per_cell": -17.6,
  "vol_a3_per_fu": 102
}


No. 2
{
  "formula": "Ca4ZrAs",
  "functional": "PBE",
  "state": "relaxed",
  "lattice_angstrom": [[0.0000, 4.5828, 4.5828], [4.5828, 0.0000, 4.5828], [4.5828, 4.5828, 0.0000]],
  "species": ["Ca", "Ca", "Ca", "Ca", "Zr", "As"],
  "fractional_positions": [[0.1247, 0.1247, 0.1247], [0.1247, 0.1247, 0.6260], [0.1247, 0.6260, 0.1247], [0.6260, 0.1247, 0.1247], [0.7500, 0.7500, 0.7500], [0.5000, 0.5000, 0.5000]],
  "formation_enthalpy_0k_ev_per_atom": 0.523,
  "total_magnetization_mub_per_fu": 3.50,
  "n_ef_per_ev_atom": 0.94,
  "final_energy_ev_per_cell": -18.1,
  "vol_a3_per_fu": 193
}


No. 3
{
  "formula": "Ca2ZrAs",
  "functional": "PBE",
  "state": "relaxed",
  "lattice_angstrom": [[4.0395, 0.0000, 0.0000], [0.0000, 4.0117, 0.0000], [-0.0136, 0.0000, 6.2319]],
  "species": ["Ca", "Ca", "Zr", "As"],
  "fractional_positions": [[0.0016, 0.0000, 0.2726], [0.9984, 0.0000, 0.7274], [0.5000, 0.5000, 0.0000], [0.5000, 0.5000, 0.5000]],
  "formation_enthalpy_0k_ev_per_atom": -0.206,
  "total_magnetization_mub_per_fu": 0.00,
  "n_ef_per_ev_atom": 1.00,
  "final_energy_ev_per_cell": -18.0,
  "vol_a3_per_fu": 101
}


No. 4
{
  "formula": "CaZrAs4",
  "functional": "PBE",
  "state": "relaxed",
  "lattice_angstrom": [[0.0000, 3.9922, 3.9922], [3.9922, 0.0000, 3.9922], [3.9922, 3.9922, 0.0000]],
  "species": ["Ca", "Zr", "As", "As", "As", "As"],
  "fractional_positions": [[0.0000, 0.0000, 0.0000], [0.7500, 0.7500, 0.7500], [0.3763, 0.3763, 0.3763], [0.3763, 0.3763, 0.8711], [0.3763, 0.8711, 0.3763], [0.8711, 0.3763, 0.3763]],
  "formation_enthalpy_0k_ev_per_atom": -0.080,
  "total_magnetization_mub_per_fu": 0.00,
  "n_ef_per_ev_atom": 0.69,
  "final_energy_ev_per_cell": -29.6,
  "vol_a3_per_fu": 127
}


No. 5
{
  "formula": "CaZr2As",
  "functional": "PBE",
  "state": "relaxed",
  "lattice_angstrom": [[-1.7849, 2.0879, 6.9869], [1.7849, -2.0879, 6.9869], [1.7849, 2.0879, -6.9869]],
  "species": ["Ca", "Zr", "Zr", "As"],
  "fractional_positions": [[0.0000, 0.0000, 0.0000], [0.3082, 0.8082, 0.5000], [0.6521, 0.6521, 0.0000], [0.8078, 0.3078, 0.5000]],
  "formation_enthalpy_0k_ev_per_atom": -0.246,
  "total_magnetization_mub_per_fu": 0.00,
  "n_ef_per_ev_atom": 0.64,
  "final_energy_ev_per_cell": -24.7,
  "vol_a3_per_fu": 104
}


No. 6
{
  "formula": "CaZr2As",
  "functional": "PBE",
  "state": "relaxed",
  "lattice_angstrom": [[-2.1488, 2.1488, 4.7957], [2.1488, -2.1488, 4.7957], [2.1488, 2.1488, -4.7957]],
  "species": ["Ca", "Zr", "Zr", "As"],
  "fractional_positions": [[0.0000, 0.0000, 0.0000], [0.2500, 0.7500, 0.5000], [0.5000, 0.5000, 0.0000], [0.7500, 0.2500, 0.5000]],
  "formation_enthalpy_0k_ev_per_atom": -0.093,
  "total_magnetization_mub_per_fu": 0.00,
  "n_ef_per_ev_atom": 1.21,
  "final_energy_ev_per_cell": -24.1,
  "vol_a3_per_fu": 89
}


No. 7
{
  "formula": "CaZr2As",
  "functional": "PBE",
  "state": "relaxed",
  "lattice_angstrom": [[-1.7504, 2.6105, 5.3391], [1.7504, -2.6105, 5.3391], [1.7504, 2.6105, -5.3391]],
  "species": ["Ca", "Zr", "Zr", "As"],
  "fractional_positions": [[0.0000, 0.0000, 0.0000], [0.3061, 0.8061, 0.5000], [0.6939, 0.1939, 0.5000], [0.5000, 0.5000, 0.0000]],
  "formation_enthalpy_0k_ev_per_atom": -0.329,
  "total_magnetization_mub_per_fu": 0.00,
  "n_ef_per_ev_atom": 0.98,
  "final_energy_ev_per_cell": -25.1,
  "vol_a3_per_fu": 98
}


No. 8
{
  "formula": "CaZr2As",
  "functional": "PBE",
  "state": "relaxed",
  "lattice_angstrom": [[3.6526, 0.0000, 0.0000], [1.8262, 6.4937, 0.0000], [1.8127, -0.5091, 8.4790]],
  "species": ["Ca", "Ca", "Zr", "Zr", "Zr", "Zr", "As", "As"],
  "fractional_positions": [[0.1186, 0.2297, 0.0345], [0.8814, 0.7703, 0.9655], [0.1416, 0.8822, 0.3339], [0.3947, 0.3040, 0.4053], [0.6053, 0.6960, 0.5947], [0.8584, 0.1178, 0.6661], [0.1729, 0.4329, 0.7232], [0.8271, 0.5671, 0.2768]],
  "formation_enthalpy_0k_ev_per_atom": -0.508,
  "total_magnetization_mub_per_fu": 0.45,
  "n_ef_per_ev_atom": 0.74,
  "final_energy_ev_per_cell": -51.6,
  "vol_a3_per_fu": 101
}


No. 9
{
  "formula": "CaZr2As",
  "functional": "PBE",
  "state": "relaxed",
  "lattice_angstrom": [[8.8347, -1.8158, 0.0000], [8.8347, 1.8158, 0.0000], [-2.3125, 0.0000, 6.3564]],
  "species": ["Ca", "Ca", "Zr", "Zr", "Zr", "Zr", "As", "As"],
  "fractional_positions": [[0.0000, 0.0000, 0.0000], [0.5007, 0.5007, 0.5007], [0.1847, 0.1847, 0.3408], [0.1979, 0.1979, 0.8094], [0.8025, 0.8025, 0.1961], [0.8151, 0.8151, 0.6641], [0.3716, 0.3716, 0.0055], [0.6290, 0.6290, 0.9998]],
  "formation_enthalpy_0k_ev_per_atom": -0.510,
  "total_magnetization_mub_per_fu": 0.00,
  "n_ef_per_ev_atom": 0.73,
  "final_energy_ev_per_cell": -51.6,
  "vol_a3_per_fu": 102
}


No. 10
{
  "formula": "Ca2ZrAs",
  "functional": "PBE",
  "state": "relaxed",
  "lattice_angstrom": [[-1.8661, 2.6813, 5.6111], [1.8661, -2.6813, 5.6111], [1.8661, 2.6813, -5.6111]],
  "species": ["Ca", "Ca", "Zr", "As"],
  "fractional_positions": [[0.0000, 0.0000, 0.0000], [0.6931, 0.1931, 0.5000], [0.3078, 0.8078, 0.5000], [0.4779, 0.4779, 0.0000]],
  "formation_enthalpy_0k_ev_per_atom": -0.347,
  "total_magnetization_mub_per_fu": 0.92,
  "n_ef_per_ev_atom": 0.86,
  "final_energy_ev_per_cell": -18.6,
  "vol_a3_per_fu": 112
}


No. 11
{
  "formula": "Ca2ZrAs",
  "functional": "PBE",
  "state": "relaxed",
  "lattice_angstrom": [[3.0793, -5.1014, 0.0000], [3.0793, 5.1014, 0.0000], [-0.1142, 0.0000, 3.2597]],
  "species": ["Ca", "Ca", "Zr", "As"],
  "fractional_positions": [[0.0000, 0.5000, 0.0000], [0.5000, 0.0000, 0.0000], [0.0000, 0.0000, 0.5000], [0.5000, 0.5000, 0.5000]],
  "formation_enthalpy_0k_ev_per_atom": -0.062,
  "total_magnetization_mub_per_fu": 0.00,
  "n_ef_per_ev_atom": 0.79,
  "final_energy_ev_per_cell": -17.4,
  "vol_a3_per_fu": 102
}


No. 12
{
  "formula": "CaZr2As",
  "functional": "PBE",
  "state": "relaxed",
  "lattice_angstrom": [[3.6387, 0.0000, 0.0000], [0.0000, 5.6467, 0.0000], [0.0000, 0.0000, 9.5291]],
  "species": ["Ca", "Ca", "Zr", "Zr", "Zr", "Zr", "As", "As"],
  "fractional_positions": [[0.0000, 0.0000, 0.0000], [0.5000, 0.5000, 0.1360], [0.0000, 0.5000, 0.4494], [0.5000, 0.0000, 0.3422], [0.5000, 0.2582, 0.7048], [0.5000, 0.7418, 0.7048], [0.0000, 0.0000, 0.5455], [0.0000, 0.5000, 0.8838]],
  "formation_enthalpy_0k_ev_per_atom": -0.497,
  "total_magnetization_mub_per_fu": 0.28,
  "n_ef_per_ev_atom": 0.94,
  "final_energy_ev_per_cell": -51.5,
  "vol_a3_per_fu": 98
}